[1]
# HoEr14Th

An optimized crystal structure of HoEr14Th (PBE, Alexandria).

Unit cell a=11.3723 b=7.0625 c=7.0625 alpha=60.03 beta=90.00 gamma=90.00
Last column: nearest neighbours and their distance in Å.
Positions (direct):
Ho  0.0000  0.0000  0.0000  10 Er 3.51-3.53, 2 Th 3.53
Er  0.0000  0.0000  0.5001  8 Er 3.51-3.53, 2 Th 3.53, 2 Ho 3.53
Er  0.0000  0.5001  0.0000  8 Er 3.51-3.53, 2 Th 3.53, 2 Ho 3.53
Er  0.2514  0.1669  0.1669  11 Er 3.48-3.53, 1 Ho 3.51
Er  0.2512  0.1698  0.6653  10 Er 3.48-3.56, 1 Th 3.50, 1 Ho 3.51
Er  0.2512  0.6653  0.1698  10 Er 3.48-3.56, 1 Th 3.50, 1 Ho 3.51
Er  0.2509  0.6653  0.6653  11 Er 3.49-3.56, 1 Th 3.50
Er  0.5000  0.3333  0.3333  12 Er 3.48-3.54
Er  0.5000  0.3333  0.8345  12 Er 3.48-3.54
Er  0.5000  0.8345  0.3333  12 Er 3.48-3.54
Er  0.5000  0.8336  0.8336  12 Er 3.50-3.53
Er  0.7486  0.1669  0.1669  11 Er 3.48-3.53, 1 Ho 3.51
Er  0.7488  0.1698  0.6653  10 Er 3.48-3.56, 1 Th 3.50, 1 Ho 3.51
Er  0.7488  0.6653  0.1698  10 Er 3.48-3.56, 1 Th 3.50, 1 Ho 3.51
Er  0.7491  0.6653  0.6653  11 Er 3.49-3.56, 1 Th 3.50
Th  0.0000  0.4998  0.4998  10 Er 3.50-3.53, 2 Ho 3.53

Final energy: -4.730 eV/atom
ΔH_f (0 K): 0.012 eV/atom

[2]
# K3PmTh2S6

An optimized crystal structure of K3PmTh2S6 (PBE, Alexandria).

Unit cell a=7.1406 b=7.1406 c=7.8404 alpha=98.73 beta=98.73 gamma=119.99
Last column: nearest neighbours and their distance in Å.
Positions (direct):
K  0.0000  0.0000  0.0000  6 S 3.18-3.22
K  0.3346  0.6654  0.0000  6 S 3.19-3.22
K  0.6654  0.3346  0.0000  6 S 3.19-3.22
Pm  0.5000  0.5000  0.5000  6 S 2.89
Th  0.1667  0.8333  0.5000  6 S 2.84
Th  0.8333  0.1667  0.5000  6 S 2.84
S  0.0911  0.4294  0.2883  2 Th 2.84, 1 Pm 2.89
S  0.2323  0.2323  0.7117  2 Th 2.84, 1 Pm 2.89, 1 K 3.18
S  0.4294  0.0911  0.2883  2 Th 2.84, 1 Pm 2.89
S  0.5706  0.9089  0.7117  2 Th 2.84, 1 Pm 2.89
S  0.7677  0.7677  0.2883  2 Th 2.84, 1 Pm 2.89, 1 K 3.18
S  0.9089  0.5706  0.7117  2 Th 2.84, 1 Pm 2.89

Final energy: -5.711 eV/atom
Energy relative to the elements, uncorrected: -1.74 eV/atom

[3]
# CdSi3Pd

An optimized crystal structure of CdSi3Pd (PBE, Alexandria).

Unit cell a=4.7509 b=4.7509 c=4.7509 alpha=90.00 beta=90.00 gamma=90.00
Last column: nearest neighbours and their distance in Å.
Positions (direct):
Cd  0.0000  0.0000  0.0000  12 Si 3.36
Si  0.0000  0.5000  0.5000  2 Pd 2.38
Si  0.5000  0.0000  0.5000  2 Pd 2.38
Si  0.5000  0.5000  0.0000  2 Pd 2.38
Pd  0.5000  0.5000  0.5000  6 Si 2.38

Final energy: -3.927 eV/atom
Energy above the lowest structure with this stoichiometry: 0.0000 eV/atom
Energy relative to the elements, uncorrected: 0.55 eV/atom

[4]
# SiSnGe2Pd

An optimized crystal structure of SiSnGe2Pd (PBE, Alexandria).

Unit cell a=5.2287 b=5.2287 c=5.0207 alpha=90.00 beta=90.00 gamma=90.00
Last column: nearest neighbours and their distance in Å.
Positions (direct):
Si  0.0000  0.0000  0.0000  2 Sn 2.51
Sn  0.0000  0.0000  0.5000  2 Si 2.51, 4 Ge 2.61
Ge  0.0000  0.5000  0.5000  2 Sn 2.61
Ge  0.5000  0.0000  0.5000  2 Sn 2.61
Pd  0.5000  0.5000  0.0000  8 Ge 3.62, 4 Si 3.70

Final energy: -3.550 eV/atom
Energy relative to the elements, uncorrected: 1.22 eV/atom

[5]
# MgTiNb2Re

An optimized crystal structure of MgTiNb2Re (PBE, Alexandria).

Unit cell a=4.7225 b=4.7225 c=4.3435 alpha=90.00 beta=90.00 gamma=90.00
Last column: nearest neighbours and their distance in Å.
Positions (direct):
Mg  0.0000  0.0000  0.0000  2 Ti 2.17, 4 Nb 2.36
Ti  0.0000  0.0000  0.5000  2 Mg 2.17
Nb  0.0000  0.5000  0.0000  2 Mg 2.36
Nb  0.5000  0.0000  0.0000  2 Mg 2.36
Re  0.5000  0.5000  0.5000  8 Nb 3.21, 4 Ti 3.34

Final energy: -6.530 eV/atom
ΔH_f (0 K): 1.885 eV/atom

[6]
# Pm8CuS3I4

An optimized crystal structure of Pm8CuS3I4 (PBE, Alexandria).

Unit cell a=9.0556 b=9.0556 c=9.0556 alpha=54.47 beta=54.47 gamma=54.47
Last column: nearest neighbours and their distance in Å.
Positions (direct):
Pm  0.2280  0.2280  0.2280  3 S 2.78
Pm  0.2286  0.7304  0.7304  2 S 2.80, 1 Cu 2.81
Pm  0.2696  0.2696  0.7714  2 S 2.80, 1 Cu 2.81
Pm  0.2696  0.7714  0.2696  2 S 2.80, 1 Cu 2.81
Pm  0.7304  0.2286  0.7304  2 S 2.80, 1 Cu 2.81
Pm  0.7304  0.7304  0.2286  2 S 2.80, 1 Cu 2.81
Pm  0.7714  0.2696  0.2696  2 S 2.80, 1 Cu 2.81
Pm  0.7720  0.7720  0.7720  3 S 2.78
Cu  0.5000  0.5000  0.5000  6 Pm 2.81
S  0.0000  0.0000  0.5000  6 Pm 2.78-2.80
S  0.0000  0.5000  0.0000  6 Pm 2.78-2.80
S  0.5000  0.0000  0.0000  6 Pm 2.78-2.80
I  0.0000  0.0000  0.0000  6 Pm 3.37
I  0.0000  0.5000  0.5000  6 Pm 3.38-3.41
I  0.5000  0.0000  0.5000  6 Pm 3.38-3.41
I  0.5000  0.5000  0.0000  6 Pm 3.38-3.41

Final energy: -5.023 eV/atom
Energy relative to the elements, uncorrected: -1.23 eV/atom

[7]
# LiErSnPt

An optimized crystal structure of LiErSnPt (PBE, Alexandria).

Unit cell a=4.7317 b=4.7317 c=4.7317 alpha=60.00 beta=60.00 gamma=60.00
Last column: nearest neighbours and their distance in Å.
Positions (direct):
Li  0.0000  0.0000  0.0000  4 Sn 2.90, 4 Er 2.90
Er  0.7500  0.7500  0.7500  4 Li 2.90, 4 Pt 2.90
Sn  0.2500  0.2500  0.2500  4 Li 2.90, 4 Pt 2.90
Pt  0.5000  0.5000  0.5000  4 Sn 2.90, 4 Er 2.90

Final energy: -5.058 eV/atom
ΔH_f (0 K): -0.928 eV/atom

[8]
# Ag8Hg3

An optimized crystal structure of Ag8Hg3 (PBE, Alexandria).

Unit cell a=5.1675 b=5.1675 c=10.9509 alpha=104.15 beta=104.15 gamma=48.10
Last column: nearest neighbours and their distance in Å.
Positions (direct):
Ag  0.0462  0.0462  0.3182  8 Ag 2.98-3.01, 4 Hg 2.99-3.01
Ag  0.1375  0.1375  0.9532  5 Hg 2.96-3.04, 7 Ag 2.97-3.04
Ag  0.2257  0.2257  0.5889  4 Hg 2.97-3.00, 8 Ag 2.99-3.01
Ag  0.3194  0.3194  0.2284  4 Hg 2.96-3.01, 8 Ag 2.98-3.04
Ag  0.6806  0.6806  0.7716  4 Hg 2.96-3.01, 8 Ag 2.98-3.04
Ag  0.7743  0.7743  0.4111  4 Hg 2.97-3.00, 8 Ag 2.99-3.01
Ag  0.8625  0.8625  0.0468  5 Hg 2.96-3.04, 7 Ag 2.97-3.04
Ag  0.9538  0.9538  0.6818  8 Ag 2.98-3.01, 4 Hg 2.99-3.01
Hg  0.4046  0.4046  0.8596  11 Ag 2.96-3.04, 1 Hg 3.12
Hg  0.5000  0.5000  0.5000  12 Ag 2.97-3.01
Hg  0.5954  0.5954  0.1404  11 Ag 2.96-3.04, 1 Hg 3.12

Final energy: -2.109 eV/atom
Energy above the lowest structure with this stoichiometry: 0.0000 eV/atom
ΔH_f (0 K): 0.047 eV/atom